No. 1
Computed, not measured: a relaxed Ho2OsRu crystal at the GGA-PBE level of DFT.

Computed properties:
DFT formation energy in kJ per mole of atoms: -19.9
DFT total energy in eV per atom: -7.622
Energy relative to the lowest polymorph listed for this composition in meV per atom: 4

Unit cell a=6.7775 b=6.7775 c=6.7775 alpha=90.00 beta=90.00 gamma=90.00
Closest atoms and distances in Å follow each position.
Space group Fm-3m (No. 225)
Symmetry-distinct sites (fractional):
Ho 0.2500 0.2500 0.2500 (multiplicity 8)  4 Ru 2.93, 4 Os 2.93
Os 0.0000 0.0000 0.0000 (multiplicity 4)  8 Ho 2.93
Ru 0.0000 0.0000 0.5000 (multiplicity 4)  8 Ho 2.93

---

No. 2
Computed, not measured: a relaxed Zn3IrI crystal at the GGA-PBE level of DFT.

Computed properties:
DFT total energy in eV per atom: -2.616
Energy relative to the lowest polymorph listed for this composition in meV per atom: 0

Unit cell a=4.9259 b=4.9259 c=4.9259 alpha=90.00 beta=90.00 gamma=90.00
Closest atoms and distances in Å follow each position.
Space group Pm-3m (No. 221)
Symmetry-distinct sites (fractional):
Zn 0.0000 0.0000 0.5000 (multiplicity 3)  2 Ir 2.46
Ir 0.0000 0.0000 0.0000 (multiplicity 1)  6 Zn 2.46
I 0.5000 0.5000 0.5000 (multiplicity 1)  12 Zn 3.48

---

No. 3
Computed, not measured: a relaxed Tl2InAg crystal at the GGA-PBE level of DFT.

Computed properties:
DFT formation energy in kJ per mole of atoms: 10.7
DFT total energy in eV per atom: -2.470
Energy relative to the lowest polymorph listed for this composition in meV per atom: 68

Unit cell a=6.7726 b=6.5999 c=5.6538 alpha=90.00 beta=124.01 gamma=90.00
Closest atoms and distances in Å follow each position.
Space group C2/m (No. 12)
Symmetry-distinct sites (fractional):
Tl 0.0000 0.2482 0.0000 (multiplicity 4)  4 Ag 3.27-3.39, 4 Tl 3.28-3.39, 4 In 3.28-3.38
In 0.0000 0.5000 0.5000 (multiplicity 2)  8 Tl 3.28-3.38, 4 Ag 3.30-3.39
Ag 0.0000 0.0000 0.5000 (multiplicity 2)  8 Tl 3.27-3.39, 4 In 3.30-3.39

---

No. 4
Computed, not measured: a relaxed SrAl2Ag6 crystal at the GGA-PBE level of DFT.

Computed properties:
DFT formation energy in kJ per mole of atoms: -11.9
DFT total energy in eV per atom: -3.043
Energy relative to the lowest polymorph listed for this composition in meV per atom: 0

Unit cell a=4.5319 b=4.5319 c=8.9980 alpha=90.00 beta=90.00 gamma=90.00
Closest atoms and distances in Å follow each position.
Space group P4/mmm (No. 123)
Symmetry-distinct sites (fractional):
Sr 0.0000 0.0000 0.0000 (multiplicity 1)  8 Al 3.47, 8 Ag 3.51
Al 0.5000 0.5000 0.1486 (multiplicity 2)  4 Ag 2.63, 1 Al 2.67
Ag 0.0000 0.0000 0.5000 (multiplicity 1)  12 Ag 2.91-3.20
Ag 0.0000 0.5000 0.2978 (multiplicity 4)  2 Al 2.63, 4 Ag 2.91
Ag 0.5000 0.5000 0.5000 (multiplicity 1)  12 Ag 2.91-3.20, 2 Al 3.16

---

No. 5
Computed, not measured: a relaxed Pm2MgAs3Pt4 crystal at the GGA-PBE level of DFT.

Computed properties:
DFT formation energy in kJ per mole of atoms: -86.7
DFT total energy in eV per atom: -5.820

Unit cell a=4.2559 b=4.2559 c=10.8447 alpha=90.00 beta=90.00 gamma=90.00
Closest atoms and distances in Å follow each position.
Space group P-4m2 (No. 115)
Symmetry-distinct sites (fractional):
Pm 0.0000 0.5000 0.2274 (multiplicity 2)  4 As 3.17, 8 Pt 3.26-3.34
Mg 0.0000 0.0000 0.5000 (multiplicity 1)  4 Pt 2.61
As 0.0000 0.5000 0.8634 (multiplicity 2)  5 Pt 2.43-2.59
As 0.5000 0.5000 0.5000 (multiplicity 1)  4 Pt 2.61
Pt 0.0000 0.0000 0.0000 (multiplicity 1)  4 As 2.59
Pt 0.0000 0.5000 0.6391 (multiplicity 2)  3 As 2.43-2.61, 2 Mg 2.61
Pt 0.5000 0.5000 0.0000 (multiplicity 1)  4 As 2.59

---

No. 6
Computed, not measured: a relaxed LiV2N3 crystal at the GGA-PBE level of DFT.

Computed properties:
DFT total energy in eV per atom: -8.470
Energy relative to the lowest polymorph listed for this composition in meV per atom: 0

Unit cell a=10.0733 b=5.9498 c=4.1140 alpha=90.00 beta=90.00 gamma=90.00
Closest atoms and distances in Å follow each position.
Space group Cmcm (No. 63)
Symmetry-distinct sites (fractional):
Li 0.0000 0.1515 0.2500 (multiplicity 4)  5 N 2.09-2.17
V 0.1654 0.3400 0.7500 (multiplicity 8)  3 N 1.83-1.91
N 0.0000 0.2128 0.7500 (multiplicity 4)  2 V 1.83
N 0.1774 0.3405 0.2500 (multiplicity 8)  4 V 1.90-2.06, 1 Li 2.11